! CrSN2O PBE with a Hubbard U relaxed; values from VASP
! Crystal system: tetragonal
! Space group: P4/mmm, No. 123
! E in eV/cell: -27.2
! Magnetization in μB/cell: 0.0
! V in Å³/cell: 53.3
&SYSTEM
  ibrav = 0, nat = 5, ntyp = 4
/
ATOMIC_SPECIES
Cr 52.00 Cr.upf
S 32.06 S.upf
N 14.01 N.upf
O 16.00 O.upf
CELL_PARAMETERS angstrom
3.9013 0.0000 0.0000
0.0000 3.9013 0.0000
0.0000 0.0000 3.5028
ATOMIC_POSITIONS crystal
Cr 0.0000 0.0000 0.0000
S 0.5000 0.5000 0.5000
N 0.0000 0.5000 0.0000
N 0.5000 0.0000 0.0000
O 0.0000 0.0000 0.5000